CeNdDyY3 PBE relaxed; SG = No. 63; magnetic moment = 2.022 μB/cell; uncorrected energy = -5.72 eV/atom
1.0
5.079 0.000 0.000
-2.539 7.574 0.000
0.000 0.000 10.138
Y Nd Dy Ce
6 2 2 2
Direct
0.167 0.334 0.750
0.665 0.330 0.000
0.335 0.670 0.500
0.335 0.670 0.000
0.665 0.330 0.500
0.833 0.666 0.250
0.000 0.000 0.500
0.000 0.000 0.000
0.166 0.333 0.250
0.834 0.667 0.750
0.501 0.002 0.250
0.499 0.998 0.750